No. 1
A plane-wave DFT calculation with PBE was carried out for a relaxed Li2CePuCl8 crystal.

Lattice parameters (Å, degrees): 6.293 8.306 6.340 90.00 92.74 90.00
Space group P2/m (No. 10)
Asymmetric unit:
Li 0.000 0.243 0.000 [2 per cell]
Ce 0.500 0.500 0.500 [1 per cell]
Pu 0.500 0.000 0.500 [1 per cell]
Cl 0.196 0.000 0.185 [2 per cell]
Cl 0.196 0.500 0.185 [2 per cell]
Cl 0.293 0.250 0.694 [4 per cell]

* uncorrected energy: -5.178 eV per atom
* uncorrected formation energy: -1939 meV/atom
* density: 3.42 g/cm3

---

No. 2
A plane-wave DFT calculation with PBE was carried out for a relaxed Nd7Sn2Pb2 crystal.

Lattice parameters (Å, degrees): 8.971 11.683 7.361 90.00 90.00 90.00
Space group Cmmm (No. 65)
Asymmetric unit:
Nd 0.000 0.000 0.000 [2 per cell]
Nd 0.000 0.500 0.257 [4 per cell]
Nd 0.250 0.250 0.286 [8 per cell]
Sn 0.000 0.276 0.000 [4 per cell]
Pb 0.179 0.000 0.500 [4 per cell]

* uncorrected energy: -4.707 eV per atom
* DFT formation energy: -0.270 eV/atom
* density: 7.15 g/cm3